1.
The following is a PBE calculation of a geometry-optimized K5Ag4 structure, from OQMD via LeMat-Bulk.

```
9
Lattice="6.125 -2.528 0.000 6.125 2.528 0.000 -4.898 0.000 10.726" Properties=species:S:1:pos:R:3 pbc="T T T"
Ag 5.214 0.000 3.540
Ag 6.865 0.000 1.214
Ag 0.487 0.000 9.512
Ag 2.139 0.000 7.185
K -2.449 0.000 5.363
K 5.858 0.000 7.231
K 10.470 0.000 1.079
K 1.495 0.000 3.495
K -3.117 0.000 9.647
```

Computed properties:
* calculated density: 3.13 g cm⁻³
* volume: 332.2 Å³ per cell
* space-group type: C2/m

2.
The following is a PBE calculation of a geometry-optimized MgInCu2 structure, from OQMD via LeMat-Bulk.

```
16
Lattice="6.347 0.000 0.000 0.000 6.347 0.000 0.000 0.000 6.347" Properties=species:S:1:pos:R:3 pbc="T T T"
Mg 3.173 0.000 3.173
Mg 0.000 3.173 3.173
Mg 3.173 3.173 0.000
Mg 3.173 3.173 3.173
Cu 4.701 1.646 1.646
Cu 1.646 4.701 4.701
Cu 1.646 1.646 4.701
Cu 4.701 1.646 4.701
Cu 1.646 4.701 1.646
Cu 4.701 4.701 4.701
Cu 1.646 1.646 1.646
Cu 4.701 4.701 1.646
In 0.000 3.173 0.000
In 3.173 0.000 0.000
In 0.000 0.000 3.173
In 0.000 0.000 0.000
```

Computed properties:
* calculated density: 6.92 g cm⁻³
* volume: 255.6 Å³ per cell
* space-group type: Pm-3m

3.
The following is a PBE calculation of a geometry-optimized PuFeNi structure, from OQMD via LeMat-Bulk.

```
3
Lattice="0.000 2.887 2.887 2.887 0.000 2.887 2.887 2.887 0.000" Properties=species:S:1:pos:R:3 pbc="T T T"
Ni 0.000 0.000 0.000
Pu 1.444 1.444 1.444
Fe 2.887 2.887 2.887
```

Computed properties:
* calculated density: 12.37 g cm⁻³
* volume: 48.1 Å³ per cell
* spin magnetization: 0.000 μB per atom
* formation energy: 960 meV/atom
* space-group type: F-43m

4.
The following is a PBE calculation of a geometry-optimized Zn2Mo structure, from OQMD via LeMat-Bulk.

```
12
Lattice="-1.838 -3.858 -1.056 8.605 -3.458 -2.344 0.540 -1.343 3.966" Properties=species:S:1:pos:R:3 pbc="T T T"
Zn 0.972 -4.958 -1.812
Zn 5.828 -6.764 -0.838
Zn 0.232 -4.516 0.686
Zn 6.194 -4.758 -2.455
Zn 0.597 -2.509 -0.931
Zn 5.453 -4.316 0.042
Zn 2.444 -3.107 0.862
Zn 3.981 -6.167 -2.631
Mo -1.832 -3.846 -1.053
Mo 3.036 -5.627 -0.072
Mo 3.389 -3.647 -1.697
Mo -0.348 -1.969 1.628
```

Computed properties:
* calculated density: 8.47 g cm⁻³
* volume: 177.8 Å³ per cell
* spin magnetization: 0.001 μB per atom
* formation energy: 137 meV/atom
* space-group type: Cmcm

5.
The following is a PBE calculation of a geometry-optimized Cu4Ag structure, from OQMD via LeMat-Bulk.

```
10
Lattice="-5.463 -2.975 -3.222 -3.555 -3.230 -5.099 3.043 -5.409 3.826" Properties=species:S:1:pos:R:3 pbc="T T T"
Cu -3.757 -6.704 -2.907
Cu -2.218 -4.911 -1.588
Cu 0.735 -5.744 1.526
Cu -5.257 -8.402 -4.201
Cu 0.830 -1.476 1.044
Cu -0.718 -3.213 -0.294
Cu 2.213 -3.933 2.782
Cu -6.710 -5.871 -6.021
Ag -5.283 -4.017 -4.823
Ag -0.691 -7.598 0.328
```

Computed properties:
* calculated density: 9.23 g cm⁻³
* volume: 130.3 Å³ per cell
* formation energy: 66 meV/atom
* space-group type: C2/m

6.
The following is a PBE calculation of a geometry-optimized Cu7Ag3 structure, from OQMD via LeMat-Bulk.

```
10
Lattice="-6.067 -3.641 -0.225 -3.940 -5.036 -3.037 2.756 -2.977 3.560" Properties=species:S:1:pos:R:3 pbc="T T T"
Cu -2.011 -5.490 1.203
Cu -5.240 -6.164 -0.904
Cu -6.824 -8.085 -1.148
Cu -5.568 -9.593 0.549
Cu -1.683 -2.061 -0.250
Cu -0.427 -3.569 1.447
Cu 0.000 0.000 0.000
Ag -3.429 -3.989 -0.614
Ag -3.822 -7.665 0.913
Ag 1.378 -1.488 1.780
```

Computed properties:
* calculated density: 9.30 g cm⁻³
* volume: 137.2 Å³ per cell
* formation energy: 86 meV/atom
* space-group type: C2/m

7.
The following is a PBE calculation of a geometry-optimized NdTlNO structure, from OQMD via LeMat-Bulk.

```
8
Lattice="2.958 -2.958 0.000 2.958 2.958 0.000 0.000 0.000 8.108" Properties=species:S:1:pos:R:3 pbc="T T T"
O 2.958 -1.479 0.000
O 2.958 1.479 0.000
Nd 1.479 0.000 1.076
Nd 4.437 0.000 7.032
Tl 2.958 1.479 4.054
Tl 2.958 -1.479 4.054
N 4.437 0.000 2.676
N 1.479 0.000 5.432
```

Computed properties:
* calculated density: 8.86 g cm⁻³
* volume: 141.9 Å³ per cell
* spin magnetization: 0.000 μB per atom
* space-group type: P4/nmm

8.
The following is a PBE calculation of a geometry-optimized PrSiGeIr2 structure, from OQMD via LeMat-Bulk.

```
10
Lattice="-1.558 3.808 1.070 -2.425 -1.828 2.975 7.364 1.130 6.696" Properties=species:S:1:pos:R:3 pbc="T T T"
Ge 3.682 0.565 3.348
Ge 1.691 1.555 5.371
Pr 4.288 -0.070 6.489
Pr 1.084 2.190 2.229
Ir 1.476 -0.502 3.932
Ir 0.000 0.000 0.000
Ir -1.991 0.990 2.023
Ir 3.897 2.622 4.787
Si 5.653 2.891 6.383
Si -0.280 -0.771 2.336
```

Computed properties:
* calculated density: 11.48 g cm⁻³
* volume: 181.1 Å³ per cell
* spin magnetization: 0.000 μB per atom
* space-group type: P4/nmm

9.
The following is a PBE calculation of a geometry-optimized Na3TaS4 structure, from OQMD via LeMat-Bulk.

```
8
Lattice="5.515 -1.099 2.607 -4.308 0.535 4.425 -1.478 -4.697 -3.766" Properties=species:S:1:pos:R:3 pbc="T T T"
Na -2.893 -2.081 0.330
Na 2.019 -2.898 -0.579
Na 0.604 -0.282 3.516
S 3.474 -0.692 1.642
S -0.931 -2.959 -2.372
S -0.100 -1.947 1.209
S -2.714 0.337 2.787
Ta 0.000 0.000 0.000
```

Computed properties:
* calculated density: 3.42 g cm⁻³
* volume: 183.4 Å³ per cell
* spin magnetization: 0.000 μB per atom
* space-group type: I-43m

10.
The following is a PBE calculation of a geometry-optimized Cu2Ag3 structure, from OQMD via LeMat-Bulk.

```
10
Lattice="2.408 -7.124 0.000 2.408 7.124 0.000 -1.491 0.000 4.562" Properties=species:S:1:pos:R:3 pbc="T T T"
Ag 2.408 -4.328 0.000
Ag 2.408 4.328 0.000
Ag 1.662 2.751 2.281
Ag 1.662 -2.751 2.281
Ag 1.662 -5.774 2.281
Ag 1.662 5.774 2.281
Cu 0.000 0.000 0.000
Cu 2.408 -1.249 0.000
Cu 2.408 1.249 0.000
Cu 1.662 0.000 2.281
```

Computed properties:
* calculated density: 9.56 g cm⁻³
* volume: 156.5 Å³ per cell
* formation energy: 94 meV/atom
* space-group type: C2/m

11.
The following is a PBE calculation of a geometry-optimized LaCuSbIr structure, from OQMD via LeMat-Bulk.

```
4
Lattice="0.000 3.440 3.440 3.440 0.000 3.440 3.440 3.440 0.000" Properties=species:S:1:pos:R:3 pbc="T T T"
Sb 0.000 0.000 0.000
Ir 1.720 1.720 1.720
Cu 5.161 5.161 5.161
La 3.440 3.440 3.440
```

Computed properties:
* calculated density: 10.53 g cm⁻³
* volume: 81.4 Å³ per cell
* spin magnetization: 0.000 μB per atom
* space-group type: F-43m

12.
The following is a PBE calculation of a geometry-optimized SrAgB7O12 structure, from OQMD via LeMat-Bulk.

```
84
Lattice="-4.321 1.418 -4.840 -1.110 -5.135 4.064 -10.164 13.664 13.722" Properties=species:S:1:pos:R:3 pbc="T T T"
O -12.068 12.094 8.540
O -9.594 5.876 6.535
O -10.642 8.835 5.627
O -9.840 11.946 13.285
O -8.540 7.614 5.244
O -7.230 4.958 4.505
O -4.318 -0.356 5.642
O -8.087 3.132 5.767
O -7.054 2.333 7.701
O -1.974 -2.246 2.498
O -10.429 4.002 7.651
O -5.236 3.720 4.175
O -13.112 9.977 8.831
O -6.632 0.292 5.847
O -5.471 -0.208 1.370
O -13.404 10.444 11.975
O -10.359 6.228 8.770
O -6.183 5.694 8.851
O -2.190 -0.497 0.970
O -2.482 -0.029 4.114
O -9.412 4.254 4.094
O -8.962 9.656 7.098
O -13.445 8.946 13.863
O -12.047 7.842 9.139
O -4.953 1.112 7.318
O -11.621 12.004 11.776
O -4.038 -0.300 -0.517
O -7.507 6.816 7.178
O -8.062 4.716 12.343
O -5.166 5.946 5.294
O -11.556 10.248 13.462
O -9.050 9.798 9.498
O -6.117 3.313 0.657
O -3.526 -2.147 4.405
O -6.544 0.149 3.448
O -11.276 10.303 7.303
O -2.150 1.002 -0.918
O -10.123 10.155 11.575
O -3.973 -2.057 1.169
O -5.754 -1.999 -0.340
O -8.364 4.989 8.440
O -3.547 2.105 3.806
O -5.554 3.136 -1.654
O -6.000 4.072 6.410
O -9.478 6.634 12.289
O -7.532 5.231 0.602
O -10.040 6.811 14.599
O -13.620 12.194 10.447
B -6.111 4.792 0.630
B -12.839 11.580 11.375
B -5.843 1.706 8.317
B -8.248 4.098 4.785
B -6.603 2.815 -0.648
B -2.532 -2.952 3.695
B -7.347 5.849 8.160
B -3.995 3.213 4.484
B -12.167 10.754 8.235
B -10.265 9.607 6.704
B -3.427 -0.807 4.711
B -4.866 -1.141 0.385
B -11.599 6.735 8.461
B -8.992 7.133 13.593
B -2.785 0.079 -0.143
B -10.729 11.088 12.560
B -6.225 -0.695 2.412
B -9.718 5.224 7.880
B -5.330 0.340 6.241
B -5.876 4.723 5.065
B -9.752 8.242 4.628
B -8.604 6.765 6.303
B -12.810 9.869 13.088
B -9.369 10.642 10.533
B -13.062 12.900 9.250
B -2.755 -1.633 1.571
B -9.484 5.156 12.315
B -6.990 3.182 6.642
Ag -4.294 1.980 1.564
Ag -6.840 2.404 2.795
Ag -8.754 7.543 10.150
Ag -11.300 7.967 11.381
Sr -4.394 1.099 -2.596
Sr -8.271 6.410 2.711
Sr -7.323 3.538 10.235
Sr -11.200 8.848 15.541
```

Computed properties:
* calculated density: 3.69 g cm⁻³
* volume: 833.4 Å³ per cell
* space-group type: C2/c

no.,calculated total energy (eV/atom)
1,-1.839
2,-2.971
3,-8.375
4,-4.322
5,-3.473
6,-3.363
7,-5.980
8,-7.415
9,-5.151
10,-3.088
11,-5.724
12,-7.642